CsNdI4: relaxed, PBE.

Cell and atoms, written as POSCAR:
```
CsNdI4
1.0
10.620 -3.175 0.000
10.620 3.175 0.000
-2.612 0.000 11.656
Cs Nd I
2 2 8
Cartesian
4.047 0.000 2.609
14.582 0.000 9.047
0.419 0.000 7.454
18.209 0.000 4.201
0.136 0.000 4.241
0.903 0.000 10.454
3.443 0.000 6.973
7.653 0.000 4.258
10.976 0.000 7.397
15.186 0.000 4.683
17.725 0.000 1.202
18.492 0.000 7.415
```

Properties
Energy relative to the elements, uncorrected ... -1.436 eV per atom
Relative energy among the computed polymorphs ... 33 meV/atom
Raw total energy ... -3.406 eV/atom